# 1
Here is a geometry-optimized PmSmTm structure from the Open Quantum Materials Database. Energies are from PBE.

abc: 7.697 7.697 7.697
angles: 90.00 90.00 90.00
Space group F-43m (No. 216)
Inequivalent atoms, fractional coordinates:
Pm 0.000 0.000 0.000 x4
Sm 0.000 0.000 0.500 x4
Tm 0.250 0.250 0.250 x4

E_form ... 0.693 eV per atom
Total magnetization ... 0.00 μB/cell
Polymorph energy (0 for the lowest one) ... 0.0 meV per atom
ρ ... 6.8 g/cm3


# 2
Here is a geometry-optimized PmSmU structure from the Open Quantum Materials Database. Energies are from PBE.

abc: 7.497 7.497 7.497
angles: 90.00 90.00 90.00
Space group F-43m (No. 216)
Inequivalent atoms, fractional coordinates:
Pm 0.000 0.000 0.000 x4
Sm 0.000 0.000 0.500 x4
U 0.250 0.250 0.250 x4

E_form ... 1.253 eV per atom
Total magnetization ... 17.48 μB/cell
Polymorph energy (0 for the lowest one) ... 0.0 meV per atom
ρ ... 8.4 g/cm3


# 3
Here is a geometry-optimized PmSmZn structure from the Open Quantum Materials Database. Energies are from PBE.

abc: 7.131 7.131 7.131
angles: 90.00 90.00 90.00
Space group F-43m (No. 216)
Inequivalent atoms, fractional coordinates:
Pm 0.000 0.000 0.000 x4
Sm 0.000 0.000 0.500 x4
Zn 0.250 0.250 0.250 x4

E_form ... 0.026 eV per atom
Total magnetization ... 0.22 μB/cell
Polymorph energy (0 for the lowest one) ... 0.0 meV per atom
ρ ... 6.6 g/cm3


# 4
Here is a geometry-optimized PmSmZr structure from the Open Quantum Materials Database. Energies are from PBE.

abc: 7.404 7.404 7.404
angles: 90.00 90.00 90.00
Space group F-43m (No. 216)
Inequivalent atoms, fractional coordinates:
Pm 0.000 0.000 0.000 x4
Sm 0.250 0.250 0.250 x4
Zr 0.000 0.000 0.500 x4

E_form ... 0.952 eV per atom
Total magnetization ... 6.26 μB/cell
Polymorph energy (0 for the lowest one) ... 0.0 meV per atom
ρ ... 6.3 g/cm3


# 5
Here is a geometry-optimized PmSn structure from the Open Quantum Materials Database. Energies are from PBE.

abc: 6.342 6.342 6.342
angles: 90.00 90.00 90.00
Space group Fm-3m (No. 225)
Inequivalent atoms, fractional coordinates:
Pm 0.000 0.000 0.000 x4
Sn 0.000 0.000 0.500 x4

DFT total energy ... -39.46 eV for the cell shown
Total magnetization ... 0.01 μB/cell
ρ ... 6.9 g/cm3


# 6
Here is a geometry-optimized Pm5Sn3 structure from the Open Quantum Materials Database. Energies are from PBE.

abc: 9.2256 9.2256 6.7783
angles: 90.00 90.00 120.00
Space group P6_3/mcm (No. 193)
Inequivalent atoms, fractional coordinates:
Pm 0.0000 0.2409 0.2500 x6
Pm 0.3333 0.6667 0.0000 x4
Sn 0.0000 0.3942 0.7500 x6

DFT total energy ... -82.80 eV for the cell shown
Total magnetization ... 0.06 μB/cell
ρ ... 7.2 g/cm3


# 7
Here is a geometry-optimized PmSn structure from the Open Quantum Materials Database. Energies are from PBE.

abc: 4.631 11.678 4.371
angles: 90.00 90.00 90.00
Space group Cmcm (No. 63)
Inequivalent atoms, fractional coordinates:
Pm 0.000 0.136 0.250 x4
Sn 0.000 0.409 0.250 x4

DFT total energy ... -41.31 eV for the cell shown
Total magnetization ... 0.02 μB/cell
ρ ... 7.4 g/cm3


# 8
Here is a geometry-optimized Pm2Sn structure from the Open Quantum Materials Database. Energies are from PBE.

abc: 8.978 8.978 8.978
angles: 90.00 90.00 90.00
Space group Fd-3m (No. 227, origin choice 2)
Inequivalent atoms, fractional coordinates:
Pm 0.000 0.000 0.000 x16
Sn 0.125 0.125 0.625 x8

Total magnetization ... 0.19 μB/cell
Polymorph energy (0 for the lowest one) ... 0.0 meV per atom
ρ ... 7.5 g/cm3


# 9
Here is a geometry-optimized Pm2Sn structure from the Open Quantum Materials Database. Energies are from PBE.

abc: 13.610 13.610 13.610
angles: 90.00 90.00 90.00
Space group Fd-3m (No. 227, origin choice 2)
Inequivalent atoms, fractional coordinates:
Pm 0.000 0.000 0.000 x16
Sn 0.125 0.125 0.125 x8

Total magnetization ... 7.22 μB/cell
Polymorph energy (0 for the lowest one) ... 1224.7 meV per atom
ρ ... 2.2 g/cm3


# 10
Here is a geometry-optimized PmSn structure from the Open Quantum Materials Database. Energies are from PBE.

abc: 3.6699 3.6699 5.0688
angles: 90.00 90.00 120.00
Space group P-6m2 (No. 187)
Inequivalent atoms, fractional coordinates:
Pm 0.0000 0.0000 0.0000 x1
Sn 0.6667 0.3333 0.5000 x1

DFT total energy ... -9.70 eV for the cell shown
Total magnetization ... 0.03 μB/cell
ρ ... 7.4 g/cm3


# 11
Here is a geometry-optimized PmSn structure from the Open Quantum Materials Database. Energies are from PBE.

abc: 7.080 7.080 7.080
angles: 90.00 90.00 90.00
Space group F-43m (No. 216)
Inequivalent atoms, fractional coordinates:
Pm 0.000 0.000 0.000 x4
Sn 0.250 0.250 0.750 x4

DFT total energy ... -33.31 eV for the cell shown
Total magnetization ... 0.01 μB/cell
ρ ... 4.9 g/cm3


# 12
Here is a geometry-optimized SrPm2Sn3 structure from the Open Quantum Materials Database. Energies are from PBE.

abc: 4.607 4.607 8.724
angles: 90.00 90.00 90.00
Space group P-4m2 (No. 115)
Inequivalent atoms, fractional coordinates:
Sr 0.000 0.000 0.000 x1
Pm 0.000 0.500 0.661 x2
Sn 0.000 0.500 0.296 x2
Sn 0.500 0.500 0.000 x1

DFT total energy ... -26.46 eV for the cell shown
Total magnetization ... 0.02 μB/cell
ρ ... 6.6 g/cm3


# 13
Here is a geometry-optimized Tb2Pm3Sn3 structure from the Open Quantum Materials Database. Energies are from PBE.

abc: 9.1392 9.1392 6.6791
angles: 90.00 90.00 120.00
Space group P6_3/mcm (No. 193)
Inequivalent atoms, fractional coordinates:
Tb 0.3333 0.6667 0.0000 x4
Pm 0.0000 0.2413 0.2500 x6
Sn 0.0000 0.3968 0.7500 x6

DFT total energy ... -82.59 eV for the cell shown
Total magnetization ... 0.03 μB/cell
ρ ... 7.6 g/cm3


# 14
Here is a geometry-optimized Pm5SnTe4 structure from the Open Quantum Materials Database. Energies are from PBE.

abc: 10.026 10.026 6.319
angles: 90.00 90.00 90.00
Space group I4/m (No. 87)
Inequivalent atoms, fractional coordinates:
Pm 0.000 0.000 0.000 x2
Pm 0.098 0.293 0.500 x8
Sn 0.000 0.000 0.500 x2
Te 0.098 0.301 0.000 x8

DFT total energy ... -107.16 eV for the cell shown
Total magnetization ... 0.04 μB/cell
ρ ... 7.1 g/cm3


# 15
Here is a geometry-optimized PmTmSn structure from the Open Quantum Materials Database. Energies are from PBE.

abc: 7.304 7.304 7.304
angles: 90.00 90.00 90.00
Space group F-43m (No. 216)
Inequivalent atoms, fractional coordinates:
Pm 0.000 0.000 0.000 x4
Tm 0.000 0.000 0.500 x4
Sn 0.250 0.250 0.250 x4

Total magnetization ... 0.03 μB/cell
Polymorph energy (0 for the lowest one) ... 0.0 meV per atom
ρ ... 7.4 g/cm3


# 16
Here is a geometry-optimized Pm2Zn3Sn structure from the Open Quantum Materials Database. Energies are from PBE.

abc: 7.524 9.180 15.877
angles: 90.00 90.00 90.00
Space group Fmmm (No. 69)
Inequivalent atoms, fractional coordinates:
Pm 0.242 0.000 0.000 x8
Pm 0.250 0.250 0.250 x8
Zn 0.000 0.000 0.162 x8
Zn 0.000 0.244 0.080 x16
Sn 0.000 0.000 0.335 x8

DFT total energy ... -162.33 eV for the cell shown
Total magnetization ... 0.13 μB/cell
ρ ... 7.3 g/cm3


# 17
Here is a geometry-optimized Sr2Pm structure from the Open Quantum Materials Database. Energies are from PBE.

abc: 10.427 10.427 10.427
angles: 90.00 90.00 90.00
Space group Fd-3m (No. 227, origin choice 2)
Inequivalent atoms, fractional coordinates:
Sr 0.000 0.000 0.000 x16
Pm 0.125 0.125 0.625 x8

DFT total energy ... -54.26 eV for the cell shown
Total magnetization ... 10.72 μB/cell
ρ ... 3.8 g/cm3


# 18
Here is a geometry-optimized SrPm2 structure from the Open Quantum Materials Database. Energies are from PBE.

abc: 9.965 9.965 9.965
angles: 90.00 90.00 90.00
Space group Fd-3m (No. 227, origin choice 2)
Inequivalent atoms, fractional coordinates:
Sr 0.125 0.125 0.125 x8
Pm 0.000 0.000 0.500 x16

DFT total energy ... -84.85 eV for the cell shown
Total magnetization ... 0.10 μB/cell
ρ ... 5.1 g/cm3


# 19
Here is a geometry-optimized SrPmTc structure from the Open Quantum Materials Database. Energies are from PBE.

abc: 7.049 7.049 7.049
angles: 90.00 90.00 90.00
Space group F-43m (No. 216)
Inequivalent atoms, fractional coordinates:
Sr 0.000 0.000 0.000 x4
Pm 0.250 0.250 0.250 x4
Tc 0.000 0.000 0.500 x4

DFT total energy ... -52.55 eV for the cell shown
Total magnetization ... 1.54 μB/cell
ρ ... 6.3 g/cm3


# 20
Here is a geometry-optimized SrPmTe2 structure from the Open Quantum Materials Database. Energies are from PBE.

abc: 4.579 4.579 6.478
angles: 90.00 90.00 90.00
Space group P4/mmm (No. 123)
Inequivalent atoms, fractional coordinates:
Sr 0.000 0.000 0.000 x1
Pm 0.500 0.500 0.500 x1
Te 0.000 0.000 0.500 x1
Te 0.500 0.500 0.000 x1

DFT total energy ... -18.84 eV for the cell shown
Total magnetization ... 0.00 μB/cell
ρ ... 6.0 g/cm3


# 21
Here is a geometry-optimized SrPmU structure from the Open Quantum Materials Database. Energies are from PBE.

abc: 7.886 7.886 7.886
angles: 90.00 90.00 90.00
Space group F-43m (No. 216)
Inequivalent atoms, fractional coordinates:
Sr 0.000 0.000 0.000 x4
Pm 0.250 0.250 0.250 x4
U 0.000 0.000 0.500 x4

Total magnetization ... 18.92 μB/cell
Polymorph energy (0 for the lowest one) ... 0.0 meV per atom
ρ ... 6.4 g/cm3


# 22
Here is a geometry-optimized SrPmY structure from the Open Quantum Materials Database. Energies are from PBE.

abc: 8.203 8.203 8.203
angles: 90.00 90.00 90.00
Space group F-43m (No. 216)
Inequivalent atoms, fractional coordinates:
Sr 0.000 0.000 0.000 x4
Pm 0.000 0.000 0.500 x4
Y 0.250 0.250 0.750 x4

Total magnetization ... 0.09 μB/cell
Polymorph energy (0 for the lowest one) ... 0.0 meV per atom
ρ ... 3.9 g/cm3


# 23
Here is a geometry-optimized SrPmZr structure from the Open Quantum Materials Database. Energies are from PBE.

abc: 7.831 7.831 7.831
angles: 90.00 90.00 90.00
Space group F-43m (No. 216)
Inequivalent atoms, fractional coordinates:
Sr 0.000 0.000 0.000 x4
Pm 0.000 0.000 0.500 x4
Zr 0.250 0.250 0.750 x4

DFT total energy ... -47.74 eV for the cell shown
Total magnetization ... 11.07 μB/cell
ρ ... 4.5 g/cm3


# 24
Here is a geometry-optimized SrPmZr3 structure from the Open Quantum Materials Database. Energies are from PBE.

abc: 7.142 7.142 11.234
angles: 90.00 90.00 90.00
Space group I4/mcm (No. 140)
Inequivalent atoms, fractional coordinates:
Sr 0.000 0.000 0.000 x4
Pm 0.000 0.500 0.250 x4
Zr 0.000 0.000 0.250 x4
Zr 0.155 0.345 0.000 x8

DFT total energy ... -99.70 eV for the cell shown
Total magnetization ... 4.91 μB/cell
ρ ... 5.9 g/cm3


# 25
Here is a geometry-optimized PmTa structure from the Open Quantum Materials Database. Energies are from PBE.

abc: 6.474 6.474 6.474
angles: 90.00 90.00 90.00
Space group F-43m (No. 216)
Inequivalent atoms, fractional coordinates:
Pm 0.000 0.000 0.000 x4
Ta 0.250 0.250 0.750 x4

E_form ... 2.693 eV per atom
Total magnetization ... 2.28 μB/cell
Polymorph energy (0 for the lowest one) ... 2058.0 meV per atom
ρ ... 8.0 g/cm3


# 26
Here is a geometry-optimized PmTa structure from the Open Quantum Materials Database. Energies are from PBE.

abc: 6.005 6.005 6.005
angles: 90.00 90.00 90.00
Space group Fm-3m (No. 225)
Inequivalent atoms, fractional coordinates:
Pm 0.000 0.000 0.000 x4
Ta 0.000 0.000 0.500 x4

E_form ... 1.540 eV per atom
Total magnetization ... 0.03 μB/cell
Polymorph energy (0 for the lowest one) ... 905.7 meV per atom
ρ ... 10.0 g/cm3


# 27
Here is a geometry-optimized PmTa structure from the Open Quantum Materials Database. Energies are from PBE.

abc: 5.2617 5.2617 4.9704
angles: 90.00 90.00 120.00
Space group P6_3/mmc (No. 194)
Inequivalent atoms, fractional coordinates:
Pm 0.3333 0.6667 0.2500 x2
Ta 0.0000 0.0000 0.0000 x2

E_form ... 0.838 eV per atom
Total magnetization ... 0.02 μB/cell
Polymorph energy (0 for the lowest one) ... 203.3 meV per atom
ρ ... 9.1 g/cm3


# 28
Here is a geometry-optimized Pm2Ta structure from the Open Quantum Materials Database. Energies are from PBE.

abc: 7.212 7.212 7.212
angles: 90.00 90.00 90.00
Space group Fm-3m (No. 225)
Inequivalent atoms, fractional coordinates:
Pm 0.250 0.250 0.250 x8
Ta 0.000 0.000 0.000 x4

E_form ... 0.921 eV per atom
Total magnetization ... 6.10 μB/cell
Polymorph energy (0 for the lowest one) ... 0.0 meV per atom
ρ ... 8.3 g/cm3


# 29
Here is a geometry-optimized PmTa structure from the Open Quantum Materials Database. Energies are from PBE.

abc: 3.6299 3.6299 7.9367
angles: 90.00 90.00 120.00
Space group P6_3/mmc (No. 194)
Inequivalent atoms, fractional coordinates:
Pm 0.0000 0.0000 0.0000 x2
Ta 0.3333 0.6667 0.2500 x2

E_form ... 1.271 eV per atom
Total magnetization ... 0.00 μB/cell
Polymorph energy (0 for the lowest one) ... 636.2 meV per atom
ρ ... 12.0 g/cm3